## ReP2Cl (PBE)

Data for a relaxed ReP2Cl crystal. Values from VASP.

Properties
Energy above the lowest structure with this stoichiometry in meV/atom: 162.5
E in eV per cell: -24.8
DOS(E_F) in states/eV per atom: 0.36
E_form (uncorrected) in kJ/mol of formula units: 35
ρ in Mg/m³: 5.7

Quantum ESPRESSO input file:
```
&SYSTEM
  ibrav = 0, nat = 4, ntyp = 3
/
ATOMIC_SPECIES
Re 186.21 Re.upf
P 30.97 P.upf
Cl 35.45 Cl.upf
CELL_PARAMETERS angstrom
-1.523 1.842 7.403
1.523 -1.842 7.403
1.523 1.842 -7.403
ATOMIC_POSITIONS angstrom
Re 0.000 0.000 0.000
P 0.000 0.000 6.679
P 0.000 1.842 5.377
Cl 1.523 0.000 2.021
```

=====

## ReP2Cl (PBE)

Data for a relaxed ReP2Cl crystal. Values from VASP.

Properties
Energy above the lowest structure with this stoichiometry in meV/atom: 659.0
E in eV per cell: -22.8
DOS(E_F) in states/eV per atom: 0.81
E_form (uncorrected) in kJ/mol of formula units: 227
ρ in Mg/m³: 6.7

Quantum ESPRESSO input file:
```
&SYSTEM
  ibrav = 0, nat = 4, ntyp = 3
/
ATOMIC_SPECIES
Re 186.21 Re.upf
P 30.97 P.upf
Cl 35.45 Cl.upf
CELL_PARAMETERS angstrom
-1.436 2.358 5.220
1.436 -2.358 5.220
1.436 2.358 -5.220
ATOMIC_POSITIONS angstrom
Re 0.000 0.000 0.000
P 1.436 0.000 1.948
P 0.000 2.358 3.272
Cl 0.000 0.000 5.220
```

=====

## ReP2Cl (PBE)

Data for a relaxed ReP2Cl crystal. Values from VASP.

Properties
Energy above the lowest structure with this stoichiometry in meV/atom: 1020.8
E in eV per cell: -21.3
DOS(E_F) in states/eV per atom: 1.46
E_form (uncorrected) in kJ/mol of formula units: 366
ρ in Mg/m³: 7.9

Quantum ESPRESSO input file:
```
&SYSTEM
  ibrav = 0, nat = 4, ntyp = 3
/
ATOMIC_SPECIES
Re 186.21 Re.upf
P 30.97 P.upf
Cl 35.45 Cl.upf
CELL_PARAMETERS angstrom
0.000 3.096 3.096
3.096 0.000 3.096
3.096 3.096 0.000
ATOMIC_POSITIONS angstrom
Re 0.000 0.000 0.000
P 1.548 1.548 1.548
P 4.644 4.644 4.644
Cl 3.096 3.096 3.096
```

=====

## RePCl (PBE)

Data for a relaxed RePCl crystal. Values from VASP.

Properties
Energy above the lowest structure with this stoichiometry in meV/atom: 601.6
E in eV per cell: -19.0
DOS(E_F) in states/eV per atom: 0.92
E_form (uncorrected) in kJ/mol of formula units: 71
ρ in Mg/m³: 7.5

Quantum ESPRESSO input file:
```
&SYSTEM
  ibrav = 0, nat = 3, ntyp = 3
/
ATOMIC_SPECIES
Re 186.21 Re.upf
P 30.97 P.upf
Cl 35.45 Cl.upf
CELL_PARAMETERS angstrom
-1.470 1.470 6.463
1.470 -1.470 6.463
1.470 1.470 -6.463
ATOMIC_POSITIONS angstrom
Re 0.000 0.000 0.000
P 0.000 0.000 5.032
Cl 0.000 0.000 8.115
```

=====

## ReP2Cl (PBE)

Data for a relaxed ReP2Cl crystal. Values from VASP.

Properties
Energy above the lowest structure with this stoichiometry in meV/atom: 209.7
E in eV per cell: -24.6
DOS(E_F) in states/eV per atom: 0.71
E_form (uncorrected) in kJ/mol of formula units: 53
ρ in Mg/m³: 6.9

Quantum ESPRESSO input file:
```
&SYSTEM
  ibrav = 0, nat = 4, ntyp = 3
/
ATOMIC_SPECIES
Re 186.21 Re.upf
P 30.97 P.upf
Cl 35.45 Cl.upf
CELL_PARAMETERS angstrom
3.009 0.000 0.000
0.000 3.009 0.000
0.000 0.000 7.525
ATOMIC_POSITIONS angstrom
Re 0.000 0.000 0.000
P 1.505 1.505 1.377
P 1.505 1.505 6.148
Cl 0.000 0.000 3.763
```

=====

## RePCl (PBE)

Data for a relaxed RePCl crystal. Values from VASP.

Properties
Energy above the lowest structure with this stoichiometry in meV/atom: 11.9
E in eV per cell: -41.5
DOS(E_F) in states/eV per atom: 0.00
E_form (uncorrected) in kJ/mol of formula units: -100
ρ in Mg/m³: 6.1

Quantum ESPRESSO input file:
```
&SYSTEM
  ibrav = 0, nat = 6, ntyp = 3
/
ATOMIC_SPECIES
Re 186.21 Re.upf
P 30.97 P.upf
Cl 35.45 Cl.upf
CELL_PARAMETERS angstrom
8.454 -1.660 0.000
8.454 1.660 0.000
-0.443 0.000 4.900
ATOMIC_POSITIONS angstrom
Re 0.000 0.000 0.000
Re 9.862 0.000 1.659
P -0.092 0.000 2.400
P 9.501 0.000 4.161
Cl 3.274 0.000 1.963
Cl 14.175 0.000 4.660
```

=====

## RePCl (PBE)

Data for a relaxed RePCl crystal. Values from VASP.

Properties
Energy above the lowest structure with this stoichiometry in meV/atom: 65.0
E in eV per cell: -41.2
DOS(E_F) in states/eV per atom: 0.36
E_form (uncorrected) in kJ/mol of formula units: -84
ρ in Mg/m³: 6.8

Quantum ESPRESSO input file:
```
&SYSTEM
  ibrav = 0, nat = 6, ntyp = 3
/
ATOMIC_SPECIES
Re 186.21 Re.upf
P 30.97 P.upf
Cl 35.45 Cl.upf
CELL_PARAMETERS angstrom
4.348 -1.538 0.000
4.348 1.538 0.000
-0.322 0.000 9.286
ATOMIC_POSITIONS angstrom
Re 0.696 0.000 1.139
Re 7.678 0.000 8.147
P 3.143 0.000 0.746
P 5.230 0.000 8.540
Cl 2.995 0.000 6.237
Cl 5.379 0.000 3.049
```

=====

## ReP2Cl (PBE)

Data for a relaxed ReP2Cl crystal. Values from VASP.

Properties
Energy above the lowest structure with this stoichiometry in meV/atom: 604.5
E in eV per cell: -23.0
DOS(E_F) in states/eV per atom: 0.48
E_form (uncorrected) in kJ/mol of formula units: 206
ρ in Mg/m³: 7.3

Quantum ESPRESSO input file:
```
&SYSTEM
  ibrav = 0, nat = 4, ntyp = 3
/
ATOMIC_SPECIES
Re 186.21 Re.upf
P 30.97 P.upf
Cl 35.45 Cl.upf
CELL_PARAMETERS angstrom
3.480 -3.445 0.000
3.480 3.445 0.000
-0.650 0.000 2.699
ATOMIC_POSITIONS angstrom
Re 0.000 0.000 0.000
P 1.740 1.723 0.000
P 1.740 -1.723 0.000
Cl 3.480 0.000 0.000
```

=====

Q: Which value of DOS(E_F) does entry 2 give?
A: 0.81 states/eV per atom

=====

Q: Look up the DOS(E_F) of the first one.
A: 0.36 states/eV per atom